# 1
The following is a PBE-GGA calculation of an optimized crystal structure of PrSmGa2, from Alexandria.

POSCAR file:
```
PrSmGa2
1.0
5.216 0.000 0.000
2.608 4.517 0.000
2.608 1.506 4.259
Pr Ga Sm
1 2 1
Direct
0.000 0.000 0.000
0.250 0.250 0.250
0.750 0.750 0.750
0.500 0.500 0.500
```

Properties
E, eV/atom: -4.4408
ρ, g cm⁻³: 7.13
Relative energy among the computed polymorphs, meV per atom: 36.7
Magnetization, μB per atom: 0.000

---

# 2
The following is a PBE-GGA calculation of an optimized crystal structure of AsOs2Cl, from Alexandria.

POSCAR file:
```
AsOs2Cl
1.0
6.456 0.188 -0.025
4.452 4.680 0.025
-5.104 -3.219 2.304
As Os Cl
1 2 1
Direct
0.466 0.466 0.000
0.046 0.046 0.000
0.229 0.729 0.500
0.759 0.259 0.500
```

Properties
E, eV/atom: -6.4025
ρ, g cm⁻³: 12.00
Relative energy among the computed polymorphs, meV per atom: 559.0
Magnetization, μB per atom: 0.000

---

# 3
The following is a PBE-GGA calculation of an optimized crystal structure of Ga2SbPbS6, from Alexandria.

POSCAR file:
```
Ga2SbPbS6
1.0
-2.414 1.035 -6.676
-7.369 -3.838 0.195
-4.917 6.635 0.932
Ga Sb Pb S
4 2 2 12
Direct
0.277 0.779 0.623
0.223 0.377 0.221
0.723 0.221 0.377
0.777 0.623 0.779
0.250 0.267 0.733
0.750 0.733 0.267
0.250 0.863 0.137
0.750 0.137 0.863
0.151 0.980 0.808
0.349 0.192 0.020
0.849 0.020 0.192
0.651 0.808 0.980
0.409 0.937 0.389
0.091 0.611 0.063
0.591 0.063 0.611
0.909 0.389 0.937
0.016 0.695 0.564
0.484 0.436 0.305
0.984 0.305 0.436
0.516 0.564 0.695
```

Properties
E, eV/atom: -4.2648
ρ, g cm⁻³: 4.67
Magnetization, μB per atom: 0.000

---

# 4
The following is a PBE-GGA calculation of an optimized crystal structure of LiAsCl2, from Alexandria.

POSCAR file:
```
LiAsCl2
1.0
-5.284 1.170 4.393
-2.207 -6.549 -0.911
-1.785 -3.717 4.373
As Li Cl
2 2 4
Direct
0.000 0.000 0.000
0.750 0.250 0.500
0.500 0.500 0.000
0.250 0.750 0.500
0.600 0.125 0.250
0.150 0.625 0.250
0.375 0.400 0.750
0.875 0.850 0.750
```

Properties
E, eV/atom: -3.0414
ρ, g cm⁻³: 3.04
Relative energy among the computed polymorphs, meV per atom: 402.6
Magnetization, μB per atom: 0.000

---

# 5
The following is a PBE-GGA calculation of an optimized crystal structure of La2ScMo, from Alexandria.

POSCAR file:
```
La2ScMo
1.0
5.204 0.000 0.000
2.602 4.507 0.000
2.602 1.502 4.249
La Mo Sc
2 1 1
Direct
0.000 0.000 0.000
0.250 0.250 0.250
0.500 0.500 0.500
0.750 0.750 0.750
```

Properties
E, eV/atom: -6.3529
ρ, g cm⁻³: 6.98
Relative energy among the computed polymorphs, meV per atom: 152.6
Magnetization, μB per atom: 0.000

---

# 6
The following is a PBE-GGA calculation of an optimized crystal structure of LaScSb2, from Alexandria.

POSCAR file:
```
LaScSb2
1.0
-1.353 0.234 -3.819
0.059 -3.477 -0.234
-7.290 -2.201 2.448
La Sb Sc
1 2 1
Direct
0.500 0.750 0.750
0.000 0.025 0.022
0.000 0.475 0.478
0.500 0.250 0.250
```

Properties
E, eV/atom: -5.7301
ρ, g cm⁻³: 6.46
Relative energy among the computed polymorphs, meV per atom: 231.1
Magnetization, μB per atom: 0.000

---

# 7
The following is a PBE-GGA calculation of an optimized crystal structure of NdSmHf, from Alexandria.

POSCAR file:
```
NdSmHf
1.0
-2.841 0.340 -1.827
-0.055 -3.351 -0.539
-2.775 0.548 7.570
Hf Nd Sm
1 1 1
Direct
0.668 0.668 0.337
0.013 0.013 0.025
0.319 0.319 0.638
```

Properties
E, eV/atom: -6.3185
ρ, g cm⁻³: 8.83
Relative energy among the computed polymorphs, meV per atom: 26.4
Magnetization, μB per atom: 0.000

---

# 8
The following is a PBE-GGA calculation of an optimized crystal structure of ZnAg3F7, from Alexandria.

POSCAR file:
```
ZnAg3F7
1.0
5.030 0.171 2.198
-0.990 4.935 2.198
-0.414 -0.523 5.990
Zn Ag F
1 3 7
Direct
0.011 0.011 0.967
0.797 0.240 0.462
0.504 0.504 0.961
0.240 0.797 0.462
0.186 0.186 0.155
0.684 0.103 0.209
0.951 0.337 0.711
0.103 0.684 0.209
0.498 0.498 0.570
0.337 0.951 0.711
0.813 0.813 0.833
```

Properties
E, eV/atom: -3.4667
ρ, g cm⁻³: 5.39
Magnetization, μB per atom: 0.185